An optimized crystal structure of La2ScTe, computed with PBE.

- crystal system = tetragonal
- theoretical density (g/cm³) = 6.192
- DOS(E_F) (states/eV per atom) = 1.150
- VASP energy (eV/atom) = -5.42
- E_form (uncorrected) (eV per atom) = -0.5850

Cell: 3.819 3.819 8.281 Å, 90.00 90.00 90.00°
Fractional coordinates of all 4 atoms:
1 Te 0.500 0.500 0.706
2 La 0.000 0.000 0.968
3 La 0.500 0.500 0.284
4 Sc 0.000 0.000 0.542

An optimized crystal structure of LaScTe2, computed with PBE.

- crystal system = monoclinic
- theoretical density (g/cm³) = 5.715
- DOS(E_F) (states/eV per atom) = 0.783
- VASP energy (eV/atom) = -5.59
- E_form (uncorrected) (eV per atom) = -1.2021

Cell: 7.585 7.585 4.179 Å, 90.05 90.05 32.05°
Last column: magnetic moment on the atom in μB.
Fractional coordinates of all 4 atoms:
1 Te 0.777 0.777 0.625  -0.01
2 Te 0.038 0.038 0.126  0.00
3 La 0.451 0.451 0.625  0.14
4 Sc 0.234 0.234 0.124  0.27

An optimized crystal structure of La2ScTe, computed with PBE.

- crystal system = trigonal
- theoretical density (g/cm³) = 5.515
- DOS(E_F) (states/eV per atom) = 1.131
- VASP energy (eV/atom) = -5.35
- E_form (uncorrected) (eV per atom) = -0.5148

Cell: 9.663 9.663 9.663 Å, 24.42 24.42 24.42°
Fractional coordinates of all 4 atoms:
1 Te 0.750 0.750 0.750
2 La 0.006 0.006 0.006
3 La 0.494 0.494 0.494
4 Sc 0.250 0.250 0.250

An optimized crystal structure of La2ScTe, computed with PBE.

- crystal system = orthorhombic
- theoretical density (g/cm³) = 6.392
- DOS(E_F) (states/eV per atom) = 1.215
- VASP energy (eV/atom) = -5.45
- E_form (uncorrected) (eV per atom) = -0.6131

Cell: 7.648 5.704 3.800 Å, 90.03 60.16 120.31°
Fractional coordinates of all 4 atoms:
1 La 0.000 0.000 0.000
2 La 0.500 0.000 0.500
3 Te 0.500 0.500 0.000
4 Sc 0.000 0.500 0.500

An optimized crystal structure of La2ScTe, computed with PBE.

- crystal system = orthorhombic
- theoretical density (g/cm³) = 5.993
- DOS(E_F) (states/eV per atom) = 1.200
- VASP energy (eV/atom) = -5.50
- E_form (uncorrected) (eV per atom) = -0.6685

Cell: 4.941 4.107 6.483 Å, 71.55 90.00 90.00°
Fractional coordinates of all 4 atoms:
1 Sc 0.000 0.699 0.478
2 La 0.000 0.974 0.927
3 La 0.500 0.274 0.327
4 Te 0.500 0.553 0.768

An optimized crystal structure of LaScTe3, computed with PBE.

- crystal system = cubic
- theoretical density (g/cm³) = 5.627
- DOS(E_F) (states/eV per atom) = 0.000
- VASP energy (eV/atom) = -5.12
- E_form (uncorrected) (eV per atom) = -0.9813

Cell: 5.509 5.509 5.509 Å, 90.00 90.00 90.00°
Fractional coordinates of all 5 atoms:
1 La 0.500 0.500 0.500
2 Te 0.000 0.000 0.500
3 Te 0.000 0.500 0.000
4 Te 0.500 0.000 0.000
5 Sc 0.000 0.000 0.000

An optimized crystal structure of La2ScTe, computed with PBE.

- crystal system = monoclinic
- theoretical density (g/cm³) = 6.137
- DOS(E_F) (states/eV per atom) = 1.194
- VASP energy (eV/atom) = -5.24
- E_form (uncorrected) (eV per atom) = -0.4083

Cell: 6.320 6.320 5.439 Å, 76.87 76.87 35.27°
Fractional coordinates of all 4 atoms:
1 Te 0.250 0.250 0.250
2 La 0.526 0.526 0.470
3 La 0.974 0.974 0.030
4 Sc 0.750 0.750 0.750

An optimized crystal structure of La6ScTe8, computed with PBE.

- crystal system = trigonal
- theoretical density (g/cm³) = 6.288
- DOS(E_F) (states/eV per atom) = 0.668
- VASP energy (eV/atom) = -5.54
- E_form (uncorrected) (eV per atom) = -1.4747

Cell: 8.458 8.458 8.458 Å, 68.13 68.13 68.13°
Fractional coordinates of all 15 atoms:
1 Te 0.907 0.178 0.653
2 Te 0.653 0.907 0.178
3 Te 0.331 0.331 0.331
4 Te 0.822 0.347 0.093
5 Te 0.093 0.822 0.347
6 Te 0.178 0.653 0.907
7 Te 0.669 0.669 0.669
8 Te 0.347 0.093 0.822
9 La 0.304 0.921 0.534
10 La 0.921 0.534 0.304
11 La 0.079 0.466 0.696
12 La 0.466 0.696 0.079
13 La 0.534 0.304 0.921
14 La 0.696 0.079 0.466
15 Sc 0.000 0.000 0.000

An optimized crystal structure of LaScTe3, computed with PBE.

- crystal system = monoclinic
- theoretical density (g/cm³) = 5.270
- VASP energy (eV/atom) = -5.48
- E_form (uncorrected) (eV per atom) = -1.3399

Cell: 9.467 10.026 8.425 Å, 90.00 90.00 116.74°
Fractional coordinates of all 20 atoms:
1 Te 0.105 0.256 0.348
2 Te 0.292 0.003 0.492
3 Te 0.946 0.379 0.783
4 Te 0.446 0.379 0.717
5 Te 0.895 0.744 0.652
6 Te 0.208 0.997 0.992
7 Te 0.554 0.621 0.283
8 Te 0.708 0.997 0.508
9 Te 0.792 0.003 0.008
10 Te 0.395 0.744 0.848
11 Te 0.605 0.256 0.152
12 Te 0.054 0.621 0.217
13 La 0.053 0.112 0.713
14 La 0.447 0.888 0.213
15 La 0.947 0.888 0.287
16 La 0.553 0.112 0.787
17 Sc 0.081 0.688 0.887
18 Sc 0.419 0.312 0.387
19 Sc 0.581 0.688 0.613
20 Sc 0.919 0.312 0.113

An optimized crystal structure of LaScTe2, computed with PBE.

- crystal system = orthorhombic
- theoretical density (g/cm³) = 6.072
- DOS(E_F) (states/eV per atom) = 0.831
- VASP energy (eV/atom) = -5.64
- E_form (uncorrected) (eV per atom) = -1.2541

Cell: 7.770 7.770 7.770 Å, 150.01 149.10 43.60°
Last column: magnetic moment on the atom in μB.
Fractional coordinates of all 4 atoms:
1 Te 0.055 0.055 0.000  -0.01
2 Te 0.781 0.281 0.500  -0.02
3 Sc 0.209 0.709 0.500  0.49
4 La 0.454 0.454 0.000  0.25

An optimized crystal structure of La2ScTe, computed with PBE.

- crystal system = monoclinic
- theoretical density (g/cm³) = 5.967
- DOS(E_F) (states/eV per atom) = 1.299
- VASP energy (eV/atom) = -5.42
- E_form (uncorrected) (eV per atom) = -0.5844

Cell: 4.113 4.101 8.483 Å, 61.15 90.00 90.00°
Fractional coordinates of all 4 atoms:
1 Sc 0.500 0.250 0.250
2 La 0.000 0.011 0.989
3 La 0.000 0.489 0.511
4 Te 0.500 0.750 0.750

An optimized crystal structure of LaScTe2, computed with PBE.

- crystal system = trigonal
- theoretical density (g/cm³) = 6.153
- DOS(E_F) (states/eV per atom) = 0.511
- VASP energy (eV/atom) = -5.73
- E_form (uncorrected) (eV per atom) = -1.3481

Cell: 4.253 4.253 7.951 Å, 74.49 74.49 60.00°
Fractional coordinates of all 4 atoms:
1 Te 0.073 0.073 0.782
2 Te 0.260 0.260 0.220
3 Sc 0.670 0.670 0.989
4 La 0.497 0.497 0.509

An optimized crystal structure of LaScTe2, computed with PBE.

- crystal system = tetragonal
- theoretical density (g/cm³) = 5.972
- DOS(E_F) (states/eV per atom) = 0.758
- VASP energy (eV/atom) = -5.63
- E_form (uncorrected) (eV per atom) = -1.2440

Cell: 6.243 4.422 4.422 Å, 90.00 90.00 90.00°
Fractional coordinates of all 4 atoms:
1 Te 0.000 0.875 0.875
2 Te 0.500 0.375 0.375
3 La 0.000 0.375 0.375
4 Sc 0.500 0.875 0.875

An optimized crystal structure of La3ScTe, computed with PBE.

- crystal system = cubic
- theoretical density (g/cm³) = 4.590
- DOS(E_F) (states/eV per atom) = 2.170
- VASP energy (eV/atom) = -4.91
- E_form (uncorrected) (eV per atom) = -0.0571

Cell: 5.974 5.974 5.974 Å, 90.00 90.00 90.00°
Fractional coordinates of all 5 atoms:
1 La 0.500 0.000 0.000
2 La 0.000 0.000 0.500
3 La 0.000 0.500 0.000
4 Sc 0.500 0.500 0.500
5 Te 0.000 0.000 0.000

An optimized crystal structure of La2ScTe, computed with PBE.

- crystal system = orthorhombic
- theoretical density (g/cm³) = 6.292
- DOS(E_F) (states/eV per atom) = 1.934
- VASP energy (eV/atom) = -5.26
- E_form (uncorrected) (eV per atom) = -0.4256

Cell: 6.154 6.154 6.154 Å, 133.94 133.93 67.19°
Fractional coordinates of all 4 atoms:
1 Sc 0.750 0.250 0.500
2 Te 0.250 0.750 0.500
3 La 0.001 0.001 0.000
4 La 0.499 0.499 0.000

An optimized crystal structure of LaScTe2, computed with PBE.

- crystal system = tetragonal
- theoretical density (g/cm³) = 4.504
- DOS(E_F) (states/eV per atom) = 1.141
- VASP energy (eV/atom) = -5.29
- E_form (uncorrected) (eV per atom) = -0.9047

Cell: 6.905 6.905 8.363 Å, 65.62 65.62 90.00°
Fractional coordinates of all 8 atoms:
1 Te 0.375 0.413 0.750
2 Te 0.875 0.837 0.750
3 Te 0.587 0.125 0.250
4 Te 0.163 0.625 0.250
5 Sc 0.500 0.500 0.000
6 Sc 0.250 0.750 0.500
7 La 0.750 0.250 0.500
8 La 0.000 0.000 0.000

An optimized crystal structure of LaScTe2, computed with PBE.

- crystal system = monoclinic
- theoretical density (g/cm³) = 6.276
- DOS(E_F) (states/eV per atom) = 0.928
- VASP energy (eV/atom) = -5.54
- E_form (uncorrected) (eV per atom) = -1.1498

Cell: 3.976 3.956 7.691 Å, 73.83 90.00 90.00°
Last column: magnetic moment on the atom in μB.
Fractional coordinates of all 4 atoms:
1 La 0.500 0.250 0.250  0.08
2 Sc 0.500 0.750 0.750  0.23
3 Te 0.000 0.895 0.998  -0.01
4 Te 0.000 0.605 0.502  -0.01

An optimized crystal structure of LaScTe4, computed with PBE.

- crystal system = cubic
- theoretical density (g/cm³) = 6.263
- DOS(E_F) (states/eV per atom) = 1.463
- VASP energy (eV/atom) = -3.99
- E_form (uncorrected) (eV per atom) = -0.0232

Cell: 6.385 6.385 6.385 Å, 60.00 60.00 60.00°
Last column: magnetic moment on the atom in μB.
Fractional coordinates of all 6 atoms:
1 Sc 0.000 0.000 0.000  0.76
2 Te 0.876 0.375 0.375  -0.01
3 Te 0.375 0.375 0.375  -0.01
4 Te 0.375 0.375 0.876  -0.01
5 Te 0.375 0.876 0.375  -0.01
6 La 0.750 0.750 0.750  0.28

An optimized crystal structure of La2ScTe, computed with PBE.

- crystal system = monoclinic
- theoretical density (g/cm³) = 6.143
- DOS(E_F) (states/eV per atom) = 1.116
- VASP energy (eV/atom) = -5.42
- E_form (uncorrected) (eV per atom) = -0.5858

Cell: 6.775 6.775 5.661 Å, 61.49 61.49 32.69°
Fractional coordinates of all 4 atoms:
1 La 0.759 0.759 0.779
2 La 0.978 0.978 0.969
3 Te 0.228 0.228 0.330
4 Sc 0.535 0.535 0.423

An optimized crystal structure of LaScTe2, computed with PBE.

- crystal system = tetragonal
- theoretical density (g/cm³) = 5.870
- DOS(E_F) (states/eV per atom) = 0.963
- VASP energy (eV/atom) = -5.57
- E_form (uncorrected) (eV per atom) = -1.1872

Cell: 4.089 4.088 7.973 Å, 104.88 104.85 90.00°
Fractional coordinates of all 4 atoms:
1 Te 0.602 0.262 0.990
2 Te 0.840 0.501 0.466
3 La 0.221 0.881 0.228
4 Sc 0.471 0.631 0.728

An optimized crystal structure of La2ScTe, computed with PBE.

- crystal system = tetragonal
- theoretical density (g/cm³) = 5.786
- DOS(E_F) (states/eV per atom) = 1.403
- VASP energy (eV/atom) = -5.17
- E_form (uncorrected) (eV per atom) = -0.3339

Cell: 9.037 9.037 7.131 Å, 50.68 50.68 90.00°
Fractional coordinates of all 8 atoms:
1 Te 0.750 0.250 0.500
2 Te 0.000 0.000 0.000
3 La 0.375 0.352 0.750
4 La 0.648 0.125 0.250
5 La 0.875 0.898 0.750
6 La 0.102 0.625 0.250
7 Sc 0.500 0.500 0.000
8 Sc 0.250 0.750 0.500

An optimized crystal structure of La2ScTe, computed with PBE.

- crystal system = tetragonal
- theoretical density (g/cm³) = 6.431
- DOS(E_F) (states/eV per atom) = 1.231
- VASP energy (eV/atom) = -5.34
- E_form (uncorrected) (eV per atom) = -0.5045

Cell: 6.214 6.214 6.214 Å, 135.49 135.49 64.77°
Fractional coordinates of all 4 atoms:
1 Te 0.750 0.250 0.500
2 La 0.000 0.000 0.000
3 La 0.250 0.750 0.500
4 Sc 0.500 0.500 0.000

An optimized crystal structure of LaScTe2, computed with PBE.

- crystal system = cubic
- theoretical density (g/cm³) = 6.420
- DOS(E_F) (states/eV per atom) = 1.436
- VASP energy (eV/atom) = -4.82
- E_form (uncorrected) (eV per atom) = -0.4325

Cell: 5.436 5.436 5.436 Å, 60.00 60.00 60.00°
Last column: magnetic moment on the atom in μB.
Fractional coordinates of all 4 atoms:
1 La 0.500 0.500 0.500  0.37
2 Sc 0.750 0.750 0.750  0.80
3 Te 0.000 0.000 0.000  -0.05
4 Te 0.250 0.250 0.250  -0.06

An optimized crystal structure of LaThScTe3, computed with PBE.

- crystal system = monoclinic
- theoretical density (g/cm³) = 7.026
- DOS(E_F) (states/eV per atom) = 0.854
- VASP energy (eV/atom) = -5.87
- E_form (uncorrected) (eV per atom) = -1.1879

Cell: 4.285 9.248 10.091 Å, 109.25 90.00 90.00°
Last column: magnetic moment on the atom in μB.
Fractional coordinates of all 12 atoms:
1 Th 0.250 0.646 0.137  0.03
2 Th 0.750 0.354 0.863  0.03
3 Te 0.750 0.898 0.107  0.00
4 Te 0.250 0.102 0.893  0.00
5 Te 0.750 0.422 0.198  0.00
6 Te 0.250 0.758 0.495  -0.01
7 Te 0.250 0.578 0.802  0.00
8 Te 0.750 0.242 0.505  -0.01
9 La 0.750 0.825 0.763  0.01
10 La 0.250 0.175 0.237  0.01
11 Sc 0.250 0.099 0.608  0.27
12 Sc 0.750 0.901 0.392  0.27

An optimized crystal structure of LaScTl2Te4, computed with PBE.

- crystal system = monoclinic
- theoretical density (g/cm³) = 6.503
- VASP energy (eV/atom) = -4.59
- E_form (uncorrected) (eV per atom) = -1.0183

Cell: 4.464 7.763 8.518 Å, 107.42 90.00 90.00°
Fractional coordinates of all 8 atoms:
1 Te 0.500 0.784 0.793
2 Te 0.000 0.760 0.217
3 Te 0.500 0.216 0.207
4 Te 0.000 0.240 0.783
5 La 0.500 0.500 0.000
6 Tl 0.000 0.500 0.500
7 Tl 0.500 0.000 0.500
8 Sc 0.000 0.000 0.000

An optimized crystal structure of LaSc2Tl3Te6, computed with PBE.

- crystal system = monoclinic
- theoretical density (g/cm³) = 6.528
- VASP energy (eV/atom) = -4.62
- E_form (uncorrected) (eV per atom) = -0.9890

Cell: 7.617 7.617 8.516 Å, 98.61 98.61 119.86°
Fractional coordinates of all 12 atoms:
1 Te 0.071 0.427 0.211
2 Te 0.573 0.929 0.789
3 Te 0.929 0.573 0.789
4 Te 0.427 0.071 0.211
5 Te 0.289 0.289 0.796
6 Te 0.711 0.711 0.204
7 Sc 0.332 0.668 0.000
8 Sc 0.668 0.332 0.000
9 La 0.000 0.000 0.000
10 Tl 0.841 0.159 0.500
11 Tl 0.159 0.841 0.500
12 Tl 0.500 0.500 0.500

An optimized crystal structure of La2ScTl3Te6, computed with PBE.

- crystal system = monoclinic
- theoretical density (g/cm³) = 6.499
- VASP energy (eV/atom) = -4.58
- E_form (uncorrected) (eV per atom) = -1.0651

Cell: 7.861 7.861 8.530 Å, 98.87 98.87 119.90°
Fractional coordinates of all 12 atoms:
1 Te 0.762 0.762 0.219
2 Te 0.071 0.382 0.213
3 Te 0.382 0.071 0.213
4 Te 0.618 0.929 0.787
5 Te 0.929 0.618 0.787
6 Te 0.238 0.238 0.781
7 Sc 0.000 0.000 0.000
8 Tl 0.172 0.828 0.500
9 Tl 0.500 0.500 0.500
10 Tl 0.828 0.172 0.500
11 La 0.666 0.334 0.000
12 La 0.334 0.666 0.000